--- P ---
## NaHfGa3 (PBE-GGA)

Data for a relaxed structure of NaHfGa3.

The structure in CIF format:
```
data_NaHfGa3
_symmetry_space_group_name_H-M 'P m -3 m'
_symmetry_Int_Tables_number 221
_symmetry_space_group_name_Hall '-P 4 2 3'
_cell_length_a 5.263
_cell_length_b 5.263
_cell_length_c 5.263
_cell_angle_alpha 90.00
_cell_angle_beta 90.00
_cell_angle_gamma 90.00
loop_
_atom_site_label
_atom_site_type_symbol
_atom_site_fract_x
_atom_site_fract_y
_atom_site_fract_z
Na1 Na 0.000 0.000 0.000
Hf1 Hf 0.500 0.500 0.500
Ga1 Ga 0.000 0.500 0.500
```

Properties
Its calculated volume is 145.8 Å³ per cell.



--- Q ---
## NaHfGa3 (PBE-GGA)

Data for a relaxed structure of NaHfGa3.

The structure in CIF format:
```
data_NaHfGa3
_symmetry_space_group_name_H-M 'P m -3 m'
_symmetry_Int_Tables_number 221
_symmetry_space_group_name_Hall '-P 4 2 3'
_cell_length_a 4.781
_cell_length_b 4.781
_cell_length_c 4.781
_cell_angle_alpha 90.00
_cell_angle_beta 90.00
_cell_angle_gamma 90.00
loop_
_atom_site_label
_atom_site_type_symbol
_atom_site_fract_x
_atom_site_fract_y
_atom_site_fract_z
Na1 Na 0.000 0.000 0.000
Hf1 Hf 0.500 0.500 0.500
Ga1 Ga 0.000 0.000 0.500
```

Properties
Its calculated volume is 109.3 Å³ per cell.



Stability check: which of them is least stable? Q.



--- P ---
## HfNbGa2 (PBE-GGA)

Data for a relaxed structure of HfNbGa2.

The structure in CIF format:
```
data_HfNbGa2
_symmetry_space_group_name_H-M 'P 4/m m m'
_symmetry_Int_Tables_number 123
_symmetry_space_group_name_Hall '-P 4 2'
_cell_length_a 3.500
_cell_length_b 3.500
_cell_length_c 5.769
_cell_angle_alpha 90.00
_cell_angle_beta 90.00
_cell_angle_gamma 90.00
loop_
_atom_site_label
_atom_site_type_symbol
_atom_site_fract_x
_atom_site_fract_y
_atom_site_fract_z
Hf1 Hf 0.000 0.000 0.000
Nb1 Nb 0.000 0.000 0.500
Ga1 Ga 0.500 0.500 0.265
```

Properties
Its calculated volume is 70.7 Å³ per cell.



--- Q ---
## HfNbGa2 (PBE-GGA)

Data for a relaxed structure of HfNbGa2.

The structure in CIF format:
```
data_HfNbGa2
_symmetry_space_group_name_H-M 'I -4 2 d'
_symmetry_Int_Tables_number 122
_symmetry_space_group_name_Hall 'I -4 2bw'
_cell_length_a 7.270
_cell_length_b 7.270
_cell_length_c 5.723
_cell_angle_alpha 90.00
_cell_angle_beta 90.00
_cell_angle_gamma 90.00
loop_
_atom_site_label
_atom_site_type_symbol
_atom_site_fract_x
_atom_site_fract_y
_atom_site_fract_z
Hf1 Hf 0.000 0.000 0.000
Nb1 Nb 0.000 0.000 0.500
Ga1 Ga 0.241 0.250 0.625
```

Properties
Its calculated volume is 302.5 Å³ per cell.



Stability check: which of them is least stable? Q.



--- P ---
## HfNbGa2 (PBE-GGA)

Data for a relaxed structure of HfNbGa2.

The structure in CIF format:
```
data_HfNbGa2
_symmetry_space_group_name_H-M 'P 1 m 1'
_symmetry_Int_Tables_number 6
_cell_length_a 3.661
_cell_length_b 3.829
_cell_length_c 5.373
_cell_angle_alpha 90.00
_cell_angle_beta 109.96
_cell_angle_gamma 90.00
loop_
_symmetry_equiv_pos_as_xyz
'x,y,z'
'x,-y,z'
loop_
_atom_site_label
_atom_site_type_symbol
_atom_site_fract_x
_atom_site_fract_y
_atom_site_fract_z
Hf1 Hf 0.000 0.000 0.000
Nb1 Nb 0.306 0.500 0.608
Ga1 Ga 0.576 0.500 0.150
Ga2 Ga 0.735 0.000 0.467
```

Properties
Its calculated volume is 70.8 Å³ per cell.



--- Q ---
## HfNbGa2 (PBE-GGA)

Data for a relaxed structure of HfNbGa2.

The structure in CIF format:
```
data_HfNbGa2
_symmetry_space_group_name_H-M 'P n m a'
_symmetry_Int_Tables_number 62
_cell_length_a 5.337
_cell_length_b 2.971
_cell_length_c 18.600
_cell_angle_alpha 90.00
_cell_angle_beta 90.00
_cell_angle_gamma 90.00
loop_
_symmetry_equiv_pos_as_xyz
'x,y,z'
'-x,-y,-z'
'-x+1/2,-y,z+1/2'
'x+1/2,y,-z+1/2'
'x+1/2,-y+1/2,-z+1/2'
'-x+1/2,y+1/2,z+1/2'
'-x,y+1/2,-z'
'x,-y+1/2,z'
loop_
_atom_site_label
_atom_site_type_symbol
_atom_site_fract_x
_atom_site_fract_y
_atom_site_fract_z
Hf1 Hf 0.077 0.250 0.128
Nb1 Nb 0.078 0.750 0.378
Ga1 Ga 0.171 0.250 0.750
Ga2 Ga 0.245 0.250 0.500
```

Properties
Its calculated volume is 295.0 Å³ per cell.



Stability check: which of them is least stable? Q.



--- P ---
## Hf2Nb3Ga4 (PBE-GGA)

Data for a relaxed structure of Hf2Nb3Ga4.

The structure in CIF format:
```
data_Hf2Nb3Ga4
_symmetry_space_group_name_H-M 'C m c e'
_symmetry_Int_Tables_number 64
_symmetry_space_group_name_Hall '-C 2ac 2'
_cell_length_a 5.693
_cell_length_b 14.685
_cell_length_c 7.991
_cell_angle_alpha 90.00
_cell_angle_beta 90.00
_cell_angle_gamma 90.00
loop_
_atom_site_label
_atom_site_type_symbol
_atom_site_fract_x
_atom_site_fract_y
_atom_site_fract_z
Hf1 Hf 0.000 0.125 0.085
Nb1 Nb 0.000 0.000 0.500
Nb2 Nb 0.250 0.197 0.750
Ga1 Ga 0.000 0.182 0.441
Ga2 Ga 0.250 0.019 0.750
```

Properties
Its calculated volume is 668.0 Å³ per cell.



--- Q ---
## Hf2Nb3Ga4 (PBE-GGA)

Data for a relaxed structure of Hf2Nb3Ga4.

The structure in CIF format:
```
data_Hf2Nb3Ga4
_symmetry_space_group_name_H-M 'P 1 21/c 1'
_symmetry_Int_Tables_number 14
_cell_length_a 7.070
_cell_length_b 7.059
_cell_length_c 6.874
_cell_angle_alpha 90.00
_cell_angle_beta 110.21
_cell_angle_gamma 90.00
loop_
_symmetry_equiv_pos_as_xyz
'x,y,z'
'-x,-y,-z'
'-x,y+1/2,-z+1/2'
'x,-y+1/2,z+1/2'
loop_
_atom_site_label
_atom_site_type_symbol
_atom_site_fract_x
_atom_site_fract_y
_atom_site_fract_z
Hf1 Hf 0.187 0.165 0.064
Nb1 Nb 0.254 0.688 0.244
Nb2 Nb 0.500 0.000 0.500
Ga1 Ga 0.075 0.531 0.853
Ga2 Ga 0.478 0.128 0.865
```

Properties
Its calculated volume is 321.9 Å³ per cell.



Stability check: which of them is least stable? P.



--- P ---
## HfNbGa3 (PBE-GGA)

Data for a relaxed structure of HfNbGa3.

The structure in CIF format:
```
data_HfNbGa3
_symmetry_space_group_name_H-M 'C 1 2/c 1'
_symmetry_Int_Tables_number 15
_cell_length_a 10.782
_cell_length_b 9.208
_cell_length_c 7.264
_cell_angle_alpha 90.00
_cell_angle_beta 94.94
_cell_angle_gamma 90.00
loop_
_symmetry_equiv_pos_as_xyz
'x,y,z'
'-x,-y,-z'
'-x,y,-z+1/2'
'x,-y,z+1/2'
'x+1/2,y+1/2,z'
'-x+1/2,-y+1/2,-z'
'-x+1/2,y+1/2,-z+1/2'
'x+1/2,-y+1/2,z+1/2'
loop_
_atom_site_label
_atom_site_type_symbol
_atom_site_fract_x
_atom_site_fract_y
_atom_site_fract_z
Hf1 Hf 0.000 0.105 0.250
Hf2 Hf 0.000 0.299 0.750
Nb1 Nb 0.210 0.391 0.083
Ga1 Ga 0.067 0.389 0.406
Ga2 Ga 0.145 0.094 0.586
Ga3 Ga 0.249 0.343 0.719
```

Properties
Its calculated volume is 718.5 Å³ per cell.



--- Q ---
## HfNbGa3 (PBE-GGA)

Data for a relaxed structure of HfNbGa3.

The structure in CIF format:
```
data_HfNbGa3
_symmetry_space_group_name_H-M 'P m -3 m'
_symmetry_Int_Tables_number 221
_symmetry_space_group_name_Hall '-P 4 2 3'
_cell_length_a 4.855
_cell_length_b 4.855
_cell_length_c 4.855
_cell_angle_alpha 90.00
_cell_angle_beta 90.00
_cell_angle_gamma 90.00
loop_
_atom_site_label
_atom_site_type_symbol
_atom_site_fract_x
_atom_site_fract_y
_atom_site_fract_z
Hf1 Hf 0.000 0.000 0.000
Nb1 Nb 0.500 0.500 0.500
Ga1 Ga 0.000 0.500 0.500
```

Properties
Its calculated volume is 114.5 Å³ per cell.



Stability check: which of them is least stable? Q.



--- P ---
## HfNbGa (PBE-GGA)

Data for a relaxed structure of HfNbGa.

The structure in CIF format:
```
data_HfNbGa
_symmetry_space_group_name_H-M 'P 3 m 1'
_symmetry_Int_Tables_number 156
_cell_length_a 4.7011
_cell_length_b 4.7011
_cell_length_c 2.9822
_cell_angle_alpha 90.00
_cell_angle_beta 90.00
_cell_angle_gamma 120.00
loop_
_symmetry_equiv_pos_as_xyz
'x,y,z'
'-y,x-y,z'
'-x+y,-x,z'
'-y,-x,z'
'-x+y,y,z'
'x,x-y,z'
loop_
_atom_site_label
_atom_site_type_symbol
_atom_site_fract_x
_atom_site_fract_y
_atom_site_fract_z
Hf1 Hf 0.0000 0.0000 0.0000
Nb1 Nb 0.3333 0.6667 0.5695
Ga1 Ga 0.6667 0.3333 0.3911
```

Properties
Its calculated volume is 57.1 Å³ per cell.



--- Q ---
## HfNbGa (PBE-GGA)

Data for a relaxed structure of HfNbGa.

The structure in CIF format:
```
data_HfNbGa
_symmetry_space_group_name_H-M 'C 1 2/m 1'
_symmetry_Int_Tables_number 12
_cell_length_a 10.107
_cell_length_b 3.664
_cell_length_c 7.319
_cell_angle_alpha 90.00
_cell_angle_beta 123.32
_cell_angle_gamma 90.00
loop_
_symmetry_equiv_pos_as_xyz
'x,y,z'
'-x,-y,-z'
'-x,y,-z'
'x,-y,z'
'x+1/2,y+1/2,z'
'-x+1/2,-y+1/2,-z'
'-x+1/2,y+1/2,-z'
'x+1/2,-y+1/2,z'
loop_
_atom_site_label
_atom_site_type_symbol
_atom_site_fract_x
_atom_site_fract_y
_atom_site_fract_z
Hf1 Hf 0.076 0.000 0.318
Nb1 Nb 0.163 0.500 0.058
Ga1 Ga 0.138 0.500 0.660
```

Properties
Its calculated volume is 226.5 Å³ per cell.



--- R ---
## HfNbGa (PBE-GGA)

Data for a relaxed structure of HfNbGa.

The structure in CIF format:
```
data_HfNbGa
_symmetry_space_group_name_H-M 'P 4/n m m'
_symmetry_Int_Tables_number 129
_cell_length_a 3.870
_cell_length_b 3.870
_cell_length_c 7.534
_cell_angle_alpha 90.00
_cell_angle_beta 90.00
_cell_angle_gamma 90.00
loop_
_symmetry_equiv_pos_as_xyz
'x,y,z'
'-x,-y,-z'
'-y+1/2,x,z'
'y+1/2,-x,-z'
'-x+1/2,-y+1/2,z'
'x+1/2,y+1/2,-z'
'y,-x+1/2,z'
'-y,x+1/2,-z'
'x+1/2,-y,-z'
'-x+1/2,y,z'
'-y,-x,-z'
'y,x,z'
'-x,y+1/2,-z'
'x,-y+1/2,z'
'y+1/2,x+1/2,-z'
'-y+1/2,-x+1/2,z'
loop_
_atom_site_label
_atom_site_type_symbol
_atom_site_fract_x
_atom_site_fract_y
_atom_site_fract_z
Hf1 Hf 0.250 0.250 0.143
Nb1 Nb 0.250 0.750 0.500
Ga1 Ga 0.250 0.250 0.771
```

Properties
Its calculated volume is 112.8 Å³ per cell.



--- S ---
## HfNbGa (PBE-GGA)

Data for a relaxed structure of HfNbGa.

The structure in CIF format:
```
data_HfNbGa
_symmetry_space_group_name_H-M 'P 1 21/m 1'
_symmetry_Int_Tables_number 11
_cell_length_a 4.895
_cell_length_b 3.514
_cell_length_c 6.831
_cell_angle_alpha 90.00
_cell_angle_beta 103.56
_cell_angle_gamma 90.00
loop_
_symmetry_equiv_pos_as_xyz
'x,y,z'
'-x,-y,-z'
'-x,y+1/2,-z'
'x,-y+1/2,z'
loop_
_atom_site_label
_atom_site_type_symbol
_atom_site_fract_x
_atom_site_fract_y
_atom_site_fract_z
Hf1 Hf 0.063 0.250 0.190
Nb1 Nb 0.453 0.250 0.841
Ga1 Ga 0.298 0.750 0.519
```

Properties
Its calculated volume is 114.2 Å³ per cell.



Stability check: which of them is least stable? P.